# 1
Compound: NdU2Se4
Source: Alexandria via LeMat-Bulk
Functional: PBE
Structure: relaxed

a b c (Å): 7.5860 7.5860 7.5860
angles (deg): 109.56 109.29 109.56
With the nearest neighbours (Å) after each atom.
Positions (direct):
Se  0.9743  0.5938  0.7242  4 U 2.94-3.09, 2 Nd 2.99-3.13, 1 Se 3.27
Se  0.6196  0.7501  0.5258  4 U 2.94-3.09, 2 Nd 2.99-3.13, 1 Se 3.27
Se  0.4742  0.0938  0.2243  4 U 2.94-3.09, 2 Nd 2.99-3.13, 1 Se 3.27
Se  0.2758  0.2501  0.8696  4 U 2.94-3.09, 2 Nd 2.99-3.13, 1 Se 3.27
Se  0.7757  0.2499  0.8695  4 U 2.94-3.09, 2 Nd 2.99-3.13, 1 Se 3.27
Se  0.6195  0.7499  0.0257  4 U 2.94-3.09, 2 Nd 2.99-3.13, 1 Se 3.27
Se  0.1305  0.9062  0.3804  4 U 2.94-3.09, 2 Nd 2.99-3.13, 1 Se 3.27
Se  0.1304  0.4062  0.3805  4 U 2.94-3.09, 2 Nd 2.99-3.13, 1 Se 3.27
Nd  0.7500  0.5000  0.2500  8 Se 2.99-3.13
Nd  0.0000  0.0000  0.0000  8 Se 2.99-3.13
U  0.8750  0.1234  0.4984  8 Se 2.94-3.09
U  0.3750  0.8766  0.7516  8 Se 2.94-3.09
U  0.5016  0.3766  0.6250  8 Se 2.94-3.09
U  0.2484  0.6234  0.1250  8 Se 2.94-3.09

## Properties
Total DFT energy (no corrections) (eV for the cell shown): -101.178
Calculated volume (Å³ per cell): 336.06
SG: I-42d (122)
Formation energy from raw total energies (eV per atom): -1.33
Energy relative to the lowest polymorph listed for this composition (eV/atom): 0.000

# 2
Compound: Nd2U2Se7
Source: Alexandria via LeMat-Bulk
Functional: PBE
Structure: relaxed

a b c (Å): 4.1317 8.9836 8.9836
angles (deg): 60.58 76.71 76.71
With the nearest neighbours (Å) after each atom.
Positions (direct):
Se  0.5000  0.0115  0.9885  3 U 2.89-2.93
Se  0.8688  0.4152  0.8472  2 U 2.88, 2 Nd 3.17
Se  0.6057  0.5020  0.2866  3 U 2.97-3.04, 2 Nd 3.11, 1 Se 3.16
Se  0.1312  0.1528  0.5848  2 U 2.88, 2 Nd 3.17
Se  0.3943  0.7134  0.4980  3 U 2.97-3.04, 2 Nd 3.11, 1 Se 3.16
Se  0.8202  0.0659  0.2938  1 U 2.85, 3 Nd 2.90-2.97
Se  0.1798  0.7062  0.9341  1 U 2.85, 3 Nd 2.90-2.97
U  0.0000  0.7820  0.2180  8 Se 2.85-3.04
U  0.5000  0.3305  0.6695  7 Se 2.88-2.97
Nd  0.2606  0.3266  0.1521  7 Se 2.90-3.17
Nd  0.7394  0.8479  0.6734  7 Se 2.90-3.17

## Properties
Total DFT energy (no corrections) (eV for the cell shown): -72.567
Calculated volume (Å³ per cell): 279.96
SG: Imm2 (44)
Formation energy from raw total energies (eV per atom): -1.46

# 3
Compound: NdU6Se8
Source: Alexandria via LeMat-Bulk
Functional: PBE
Structure: relaxed

a b c (Å): 8.1185 8.1185 8.1185
angles (deg): 60.00 60.00 60.00
With the nearest neighbours (Å) after each atom.
Positions (direct):
Nd  0.0000  0.0000  0.0000  6 Se 3.00
U  0.0000  0.5000  0.0000  6 Se 2.87
U  0.0000  0.5000  0.5000  6 Se 2.87
U  0.5000  0.5000  0.0000  6 Se 2.87
U  0.5000  0.0000  0.5000  6 Se 2.87
U  0.0000  0.0000  0.5000  6 Se 2.87
U  0.5000  0.0000  0.0000  6 Se 2.87
Se  0.7500  0.7500  0.7500  6 U 2.87
Se  0.2616  0.7384  0.7384  4 U 2.87, 1 Nd 3.00
Se  0.7384  0.2616  0.2616  4 U 2.87, 1 Nd 3.00
Se  0.7384  0.7384  0.2616  4 U 2.87, 1 Nd 3.00
Se  0.7384  0.2616  0.7384  4 U 2.87, 1 Nd 3.00
Se  0.2616  0.7384  0.2616  4 U 2.87, 1 Nd 3.00
Se  0.2616  0.2616  0.7384  4 U 2.87, 1 Nd 3.00
Se  0.2500  0.2500  0.2500  6 U 2.87

## Properties
Total DFT energy (no corrections) (eV for the cell shown): -117.636
Calculated volume (Å³ per cell): 378.37
SG: Fm-3m (225)
Formation energy from raw total energies (eV per atom): -1.15
Energy relative to the lowest polymorph listed for this composition (eV/atom): 0.000

# 4
Compound: Nd2U3Se8
Source: Alexandria via LeMat-Bulk
Functional: PBE
Structure: relaxed

a b c (Å): 7.0871 8.2533 8.4939
angles (deg): 119.07 106.53 90.00
With the nearest neighbours (Å) after each atom.
Positions (direct):
Nd  0.6673  0.7411  0.4821  6 Se 2.94-3.01
Nd  0.3327  0.2589  0.5179  6 Se 2.94-3.01
Se  0.9188  0.1154  0.2309  3 U 2.90-2.91, 1 Nd 3.01
Se  0.0812  0.8846  0.7691  3 U 2.90-2.91, 1 Nd 3.01
Se  0.5902  0.6390  0.7550  2 U 2.89, 2 Nd 3.00
Se  0.9135  0.6155  0.2309  2 U 2.82, 1 Nd 2.94
Se  0.0865  0.3845  0.7691  2 U 2.82, 1 Nd 2.94
Se  0.5902  0.1159  0.7550  2 U 2.89, 2 Nd 3.00
Se  0.4098  0.8841  0.2450  2 U 2.89, 2 Nd 3.00
Se  0.4098  0.3610  0.2450  2 U 2.89, 2 Nd 3.00
U  0.0000  0.2587  0.0000  6 Se 2.82-2.91
U  0.0000  0.7413  0.0000  6 Se 2.82-2.91
U  0.5000  0.0000  0.0000  6 Se 2.89-2.90

## Properties
Total DFT energy (no corrections) (eV for the cell shown): -88.561
Calculated volume (Å³ per cell): 410.60
SG: C2/m (12)
Formation energy from raw total energies (eV per atom): -1.33
Energy relative to the lowest polymorph listed for this composition (eV/atom): 0.023

# 5
Compound: NdUSe4
Source: Alexandria via LeMat-Bulk
Functional: PBE
Structure: relaxed

a b c (Å): 4.2344 9.1349 11.2178
angles (deg): 83.72 79.12 76.60
With the nearest neighbours (Å) after each atom.
Positions (direct):
Se  0.6775  0.2090  0.9366  1 U 2.72, 2 Nd 2.96
Se  0.3225  0.7910  0.0634  1 U 2.72, 2 Nd 2.96
Se  0.0509  0.5608  0.8375  2 U 2.80, 1 Nd 2.99
Se  0.9491  0.4392  0.1625  2 U 2.80, 1 Nd 2.99
Se  0.4493  0.9392  0.6625  2 U 2.80, 1 Nd 2.99
Se  0.8230  0.2910  0.5634  1 U 2.72, 2 Nd 2.96
Se  0.1770  0.7090  0.4366  1 U 2.72, 2 Nd 2.96
Se  0.5507  0.0608  0.3375  2 U 2.80, 1 Nd 2.99
U  0.5000  0.5000  0.0000  6 Se 2.72-2.80
U  0.0000  0.0000  0.5000  6 Se 2.72-2.80
Nd  0.7497  0.7500  0.2500  6 Se 2.96-2.99
Nd  0.2503  0.2500  0.7500  6 Se 2.96-2.99

## Properties
Total DFT energy (no corrections) (eV for the cell shown): -76.293
Calculated volume (Å³ per cell): 413.54
SG: C2/m (12)
Formation energy from raw total energies (eV per atom): -1.36
Energy relative to the lowest polymorph listed for this composition (eV/atom): 0.000

# 6
Compound: NdU6Se8
Source: Alexandria via LeMat-Bulk
Functional: PBE
Structure: relaxed

a b c (Å): 7.4136 7.4136 7.4136
angles (deg): 94.44 94.44 94.44
With the nearest neighbours (Å) after each atom.
Positions (direct):
Nd  0.0000  0.0000  0.0000  8 Se 3.09-3.26
U  0.7793  0.4832  0.4311  2 U 2.55, 2 Se 2.81-2.84
U  0.5689  0.2207  0.5168  2 U 2.55, 2 Se 2.81-2.84
U  0.2207  0.5168  0.5689  2 U 2.55, 2 Se 2.81-2.84
U  0.4311  0.7793  0.4832  2 U 2.55, 2 Se 2.81-2.84
U  0.4832  0.4311  0.7793  2 U 2.55, 2 Se 2.81-2.84
U  0.5168  0.5689  0.2207  2 U 2.55, 2 Se 2.81-2.84
Se  0.3366  0.0481  0.7443  3 U 2.81-2.95
Se  0.9519  0.2557  0.6634  3 U 2.81-2.95
Se  0.2557  0.6634  0.9519  3 U 2.81-2.95
Se  0.7380  0.7380  0.7380  3 U 2.89, 1 Nd 3.09
Se  0.0481  0.7443  0.3366  3 U 2.81-2.95
Se  0.2620  0.2620  0.2620  3 U 2.89, 1 Nd 3.09
Se  0.6634  0.9519  0.2557  3 U 2.81-2.95
Se  0.7443  0.3366  0.0481  3 U 2.81-2.95

## Properties
Total DFT energy (no corrections) (eV for the cell shown): -113.396
Calculated volume (Å³ per cell): 403.58
SG: R-3 (148)
Formation energy from raw total energies (eV per atom): -0.87
Energy relative to the lowest polymorph listed for this composition (eV/atom): 0.283

# 7
Compound: NdUSe2
Source: Alexandria via LeMat-Bulk
Functional: PBE
Structure: relaxed

a b c (Å): 4.0889 4.0889 7.3652
angles (deg): 73.88 73.88 60.00
With the nearest neighbours (Å) after each atom.
Positions (direct):
Nd  0.5000  0.5000  0.5000  6 Se 2.98
U  0.0000  0.0000  0.0000  6 Se 2.90
Se  0.7468  0.7468  0.7596  3 U 2.90, 3 Nd 2.98
Se  0.2532  0.2532  0.2404  3 U 2.90, 3 Nd 2.98

## Properties
Total DFT energy (no corrections) (eV for the cell shown): -28.625
Calculated volume (Å³ per cell): 101.01
SG: R-3m (166)
Formation energy from raw total energies (eV per atom): -1.40
Energy relative to the lowest polymorph listed for this composition (eV/atom): 0.000

# 8
Compound: NdUSe2
Source: Alexandria via LeMat-Bulk
Functional: PBE
Structure: relaxed

a b c (Å): 4.2764 3.9707 12.1676
angles (deg): 99.39 90.00 90.00
With the nearest neighbours (Å) after each atom.
Positions (direct):
Nd  0.7500  0.5729  0.1458  5 Se 2.87-2.93
Nd  0.2500  0.4271  0.8542  5 Se 2.87-2.93
Se  0.7500  0.9378  0.8757  4 Nd 2.93, 1 U 3.01
Se  0.2500  0.3074  0.6148  1 Nd 2.87, 5 U 2.88-2.92
Se  0.7500  0.6926  0.3852  1 Nd 2.87, 5 U 2.88-2.92
Se  0.2500  0.0622  0.1243  4 Nd 2.93, 1 U 3.01
U  0.7500  0.8124  0.6248  6 Se 2.88-3.01
U  0.2500  0.1876  0.3752  6 Se 2.88-3.01

## Properties
Total DFT energy (no corrections) (eV for the cell shown): -56.532
Calculated volume (Å³ per cell): 203.84
SG: Cmcm (63)
Formation energy from raw total energies (eV per atom): -1.31
Energy relative to the lowest polymorph listed for this composition (eV/atom): 0.090

# 9
Compound: NdUSe3
Source: Alexandria via LeMat-Bulk
Functional: PBE
Structure: relaxed

a b c (Å): 4.1241 7.8027 16.1604
angles (deg): 90.00 90.00 90.00
With the nearest neighbours (Å) after each atom.
Positions (direct):
Se  0.7500  0.4930  0.8968  3 U 2.91-2.97, 1 Nd 3.21
Se  0.2500  0.5070  0.1032  3 U 2.91-2.97, 1 Nd 3.21
Se  0.7500  0.9930  0.6032  3 U 2.91-2.97, 1 Nd 3.21
Se  0.7500  0.8331  0.2170  4 Nd 2.96-3.02, 1 U 2.98, 1 Se 3.31
Se  0.2500  0.3778  0.5670  3 U 2.91-3.06, 2 Nd 3.04
Se  0.7500  0.6222  0.4330  3 U 2.91-3.06, 2 Nd 3.04
Se  0.2500  0.6669  0.7170  4 Nd 2.96-3.02, 1 U 2.98, 1 Se 3.31
Se  0.7500  0.1222  0.0670  3 U 2.91-3.06, 2 Nd 3.04
Se  0.7500  0.3331  0.2830  4 Nd 2.96-3.02, 1 U 2.98, 1 Se 3.31
Se  0.2500  0.1669  0.7830  4 Nd 2.96-3.02, 1 U 2.98, 1 Se 3.31
Se  0.2500  0.8778  0.9330  3 U 2.91-3.06, 2 Nd 3.04
Se  0.2500  0.0070  0.3968  3 U 2.91-2.97, 1 Nd 3.21
U  0.7500  0.7340  0.0390  7 Se 2.91-3.06
U  0.7500  0.2340  0.4610  7 Se 2.91-3.06
U  0.2500  0.2660  0.9610  7 Se 2.91-3.06
U  0.2500  0.7660  0.5390  7 Se 2.91-3.06
Nd  0.7500  0.3854  0.7048  7 Se 2.96-3.21
Nd  0.7500  0.8854  0.7952  7 Se 2.96-3.21
Nd  0.2500  0.1146  0.2048  7 Se 2.96-3.21
Nd  0.2500  0.6146  0.2952  7 Se 2.96-3.21

## Properties
Total DFT energy (no corrections) (eV for the cell shown): -136.315
Calculated volume (Å³ per cell): 520.02
SG: Pnma (62)
Formation energy from raw total energies (eV per atom): -1.51
Energy relative to the lowest polymorph listed for this composition (eV/atom): 0.000

# 10
Compound: NdU2Se4
Source: Alexandria via LeMat-Bulk
Functional: PBE
Structure: relaxed

a b c (Å): 3.9767 7.0441 14.0391
angles (deg): 90.00 90.00 106.40
With the nearest neighbours (Å) after each atom.
Positions (direct):
Se  0.5000  0.0000  0.0000  4 U 2.86
Se  0.2217  0.4433  0.8737  3 U 2.89-2.90, 2 Nd 3.02
Se  0.2217  0.4433  0.6263  3 U 2.89-2.90, 2 Nd 3.02
Se  0.7783  0.5567  0.3737  3 U 2.89-2.90, 2 Nd 3.02
Se  0.5000  0.0000  0.5000  4 U 2.86
Se  0.9498  0.8997  0.7500  2 U 2.87, 2 Nd 2.98
Se  0.7783  0.5567  0.1263  3 U 2.89-2.90, 2 Nd 3.02
Se  0.0502  0.1003  0.2500  2 U 2.87, 2 Nd 2.98
Nd  0.6137  0.2273  0.7500  6 Se 2.98-3.02
Nd  0.3863  0.7727  0.2500  6 Se 2.98-3.02
U  0.1374  0.2748  0.0636  6 Se 2.86-2.90
U  0.8626  0.7252  0.9364  6 Se 2.86-2.90
U  0.1374  0.2748  0.4364  6 Se 2.86-2.90
U  0.8626  0.7252  0.5636  6 Se 2.86-2.90

## Properties
Total DFT energy (no corrections) (eV for the cell shown): -100.722
Calculated volume (Å³ per cell): 377.27
SG: Cmcm (63)
Formation energy from raw total energies (eV per atom): -1.30
Energy relative to the lowest polymorph listed for this composition (eV/atom): 0.033